1.
VASP calculation (PBE-GGA) on an optimized crystal structure of Mg5Ag2Hg2Rh.

Lattice parameters (Å, degrees): 11.387 11.387 3.129 90.00 90.00 90.00
Fractional positions:
Mg 0.000 0.500 0.000
Mg 0.016 0.190 0.000
Mg 0.190 0.984 0.000
Mg 0.310 0.484 0.000
Mg 0.484 0.690 0.000
Mg 0.500 0.000 0.000
Mg 0.516 0.310 0.000
Mg 0.690 0.516 0.000
Mg 0.810 0.016 0.000
Mg 0.984 0.810 0.000
Ag 0.146 0.354 0.500
Ag 0.354 0.854 0.500
Ag 0.646 0.146 0.500
Ag 0.854 0.646 0.500
Hg 0.172 0.672 0.500
Hg 0.328 0.172 0.500
Hg 0.672 0.828 0.500
Hg 0.828 0.328 0.500
Rh 0.000 0.000 0.500
Rh 0.500 0.500 0.500

Calculated values
* symmetry: P4/mbm
* energy of formation: -0.223 eV per atom
* volume: 20.3 Å³/atom


2.
VASP calculation (PBE-GGA) on an optimized crystal structure of YCuRe4.

Lattice parameters (Å, degrees): 5.295 5.295 5.295 60.00 60.00 60.00
Fractional positions:
Y 0.000 0.000 0.000
Cu 0.750 0.750 0.750
Re 0.376 0.376 0.376
Re 0.376 0.376 0.872
Re 0.376 0.872 0.376
Re 0.872 0.376 0.376

Calculated values
* symmetry: F-43m
* energy of formation: 0.246 eV per atom
* volume: 17.5 Å³/atom


3.
VASP calculation (PBE-GGA) on an optimized crystal structure of CsLiAsI6.

Lattice parameters (Å, degrees): 6.634 8.076 8.698 102.16 95.53 111.79
Fractional positions:
Cs 0.000 0.000 0.000
Li 0.858 0.434 0.334
As 0.476 0.761 0.409
I 0.247 0.439 0.495
I 0.477 0.518 0.062
I 0.484 0.993 0.686
I 0.567 0.070 0.242
I 0.887 0.798 0.503
I 0.975 0.514 0.049

Calculated values
* symmetry: P1
* energy: -2.514 eV per atom
* volume: 46.1 Å³/atom


4.
VASP calculation (PBE-GGA) on an optimized crystal structure of K3Th2MgTe6.

Lattice parameters (Å, degrees): 7.850 7.850 8.652 98.72 98.72 120.02
Fractional positions:
K 0.000 0.000 0.000
K 0.331 0.669 0.000
K 0.669 0.331 0.000
Th 0.166 0.834 0.500
Th 0.834 0.166 0.500
Mg 0.500 0.500 0.500
Te 0.107 0.430 0.291
Te 0.246 0.246 0.710
Te 0.430 0.107 0.291
Te 0.570 0.893 0.709
Te 0.754 0.754 0.290
Te 0.893 0.570 0.709

Calculated values
* symmetry: C2/m
* energy: -4.351 eV per atom
* volume: 36.7 Å³/atom


5.
VASP calculation (PBE-GGA) on an optimized crystal structure of Np4NbN6.

Lattice parameters (Å, degrees): 6.682 6.682 6.682 91.85 91.85 91.85
Fractional positions:
Np 0.105 0.750 0.395
Np 0.250 0.250 0.250
Np 0.250 0.605 0.895
Np 0.395 0.105 0.750
Np 0.605 0.895 0.250
Np 0.750 0.395 0.105
Np 0.750 0.750 0.750
Np 0.895 0.250 0.605
Nb 0.000 0.000 0.000
Nb 0.500 0.500 0.500
N 0.055 0.913 0.691
N 0.087 0.309 0.945
N 0.191 0.413 0.555
N 0.309 0.945 0.087
N 0.413 0.555 0.191
N 0.445 0.809 0.587
N 0.555 0.191 0.413
N 0.587 0.445 0.809
N 0.691 0.055 0.913
N 0.809 0.587 0.445
N 0.913 0.691 0.055
N 0.945 0.087 0.309

Calculated values
* symmetry: R-3c
* energy: -11.189 eV per atom
* volume: 13.5 Å³/atom


6.
VASP calculation (PBE-GGA) on an optimized crystal structure of WBr4Cl.

Lattice parameters (Å, degrees): 7.070 7.070 7.070 115.41 115.41 98.15
Fractional positions:
W 0.000 0.000 0.000
Br 0.225 0.774 0.997
Br 0.226 0.223 0.450
Br 0.773 0.775 0.550
Br 0.777 0.227 0.003
Cl 0.750 0.250 0.500

Calculated values
* symmetry: I-4
* polymorph energy (0 for the lowest one): 0 meV/atom
* volume: 44.1 Å³/atom


Q: Among the records above, which one has the lowest volume?
A: Np4NbN6